MgSiW2 | PBE | relaxed

## Properties
Total energy in eV per cell: -32.06
Size of the total moment in μB per formula unit: 0.00

The structure in POSCAR format:
```
MgSiW2
1.0
1.654 -2.237 0.000
1.654 2.237 0.000
0.000 0.000 8.852
Mg Si W
1 1 2
direct
0.000 0.000 0.000
0.500 0.500 0.270
0.000 0.000 0.491
0.500 0.500 0.739
```

***

Pu2BrO2 | PBE | relaxed

## Properties
Total energy in eV per cell: -104.83
Size of the total moment in μB per formula unit: 11.00

The structure in POSCAR format:
```
Pu2BrO2
1.0
0.000 4.971 5.248
3.873 0.000 5.248
3.873 4.971 0.000
Pu Br O
4 2 4
direct
0.057 0.693 0.057
0.307 0.943 0.307
0.693 0.057 0.693
0.943 0.307 0.943
0.375 0.375 0.375
0.625 0.625 0.625
0.014 0.014 0.736
0.264 0.264 0.986
0.736 0.736 0.014
0.986 0.986 0.264
```

***

ZnInTe2 | PBE | relaxed

## Properties
Total energy in eV per cell: -9.94
Size of the total moment in μB per formula unit: 0.00

The structure in POSCAR format:
```
ZnInTe2
1.0
3.294 0.000 0.000
0.000 3.294 0.000
0.000 0.000 10.099
Zn In Te
1 1 2
direct
0.000 0.000 0.000
0.500 0.500 0.194
0.000 0.000 0.448
0.500 0.500 0.807
```

***

Nd3Sm5Er4 | PBE | relaxed

## Properties
Excess energy over the best structure of this formula in the dataset in kcal/mol of atoms: 4.85
Energy relative to the elements in meV per atom: 226
Size of the total moment in μB per formula unit: 0.01

The structure in POSCAR format:
```
Nd3Sm5Er4
1.0
8.087 -2.987 0.000
8.087 2.987 0.000
-4.110 0.000 8.358
Nd Sm Er
3 5 4
direct
0.000 0.000 0.000
0.292 0.292 0.772
0.708 0.708 0.228
0.076 0.076 0.699
0.173 0.173 0.387
0.500 0.500 0.000
0.827 0.827 0.613
0.924 0.924 0.301
0.289 0.289 0.124
0.419 0.419 0.558
0.581 0.581 0.442
0.711 0.711 0.876
```

***

LaTc2P | PBE | relaxed

## Properties
Energy relative to the elements in meV per atom: -81
Size of the total moment in μB per formula unit: 0.00

The structure in POSCAR format:
```
LaTc2P
1.0
-2.319 2.319 8.383
2.319 -2.319 8.383
2.319 2.319 -8.383
La Tc P
2 4 2
direct
0.000 0.000 0.000
0.750 0.250 0.500
0.322 0.625 0.197
0.375 0.572 0.697
0.428 0.125 0.803
0.875 0.678 0.303
0.250 0.750 0.500
0.500 0.500 0.000
```

***

Pm5ErTm4 | PBE | relaxed

## Properties
Excess energy over the best structure of this formula in the dataset in kcal/mol of atoms: 0.00
Energy relative to the elements in meV per atom: 19
Size of the total moment in μB per formula unit: 0.00

The structure in POSCAR format:
```
Pm5ErTm4
1.0
3.586 0.000 0.000
0.000 3.586 0.000
0.000 0.000 24.965
Pm Er Tm
5 1 4
direct
0.000 0.000 0.000
0.000 0.000 0.200
0.000 0.000 0.400
0.000 0.000 0.600
0.000 0.000 0.800
0.500 0.500 0.500
0.500 0.500 0.100
0.500 0.500 0.300
0.500 0.500 0.700
0.500 0.500 0.900
```